Ac2EuC: optimized geometry, PBE.

The structure in POSCAR format:
```
Ac2EuC
1.0
-3.8282 1.1349 1.1942
-3.1426 -2.7295 -0.2077
-0.1011 -3.8743 10.6298
Eu Ac C
1 2 1
direct
0.5000 0.5000 0.5000
0.9298 0.9298 0.2107
0.0702 0.0702 0.7893
0.0000 0.0000 0.0000
```

## Properties
* SG: R-3m, No. 166
* formation energy from the elements: 1.01 eV per atom
* density of states at the Fermi level: 12.1 states/eV per cell
* total DFT energy (no corrections): -5.92 eV/atom



Ce2Ga4SnPt3: optimized geometry, PBE.

The structure in POSCAR format:
```
Ce2Ga4SnPt3
1.0
4.2869 0.0000 0.0000
0.0000 4.2869 0.0000
0.0000 0.0000 10.9075
Ce Ga Pt Sn
2 4 3 1
direct
0.5000 0.0000 0.2356
0.0000 0.5000 0.7644
0.0000 0.5000 0.3508
0.0000 0.0000 0.0000
0.5000 0.5000 0.0000
0.5000 0.0000 0.6492
0.0000 0.5000 0.1272
0.5000 0.0000 0.8728
0.0000 0.0000 0.5000
0.5000 0.5000 0.5000
```

## Properties
* SG: P-4m2, No. 115
* formation energy from the elements: -0.81 eV per atom
* density of states at the Fermi level: 13.7 states/eV per cell
* total DFT energy (no corrections): -5.42 eV/atom



ZnFeHPd2: optimized geometry, PBE.

The structure in POSCAR format:
```
ZnFeHPd2
1.0
3.9914 0.0000 0.0000
0.0000 3.9914 0.0000
0.0000 0.0000 3.7470
Zn Pd Fe H
1 2 1 1
direct
0.5000 0.5000 0.5000
0.5000 0.0000 0.0000
0.0000 0.5000 0.0000
0.0000 0.0000 0.5000
0.0000 0.0000 0.0000
```

## Properties
* SG: P4/mmm, No. 123
* density of states at the Fermi level: 4.4 states/eV per cell
* total DFT energy (no corrections): -4.83 eV/atom